PBE+U Na4CrO3, relaxed; magnetic moment = 7.96 μB/cell; electronic total energy = -4.77 eV per atom; DOS at the Fermi energy = 2.23 states/eV/f.u.
1.0
5.687 -2.916 0.000
5.687 2.916 0.000
-3.230 0.000 7.600
Na Cr O
8 2 6
direct
0.141 0.859 0.500 Na
0.408 0.975 0.908 Na
0.444 0.756 0.200 Na
0.605 0.923 0.595 Na
0.756 0.444 0.700 Na
0.859 0.141 0.000 Na
0.923 0.605 0.095 Na
0.975 0.408 0.408 Na
0.230 0.509 0.814 Cr
0.509 0.230 0.314 Cr
0.190 0.207 0.669 O
0.207 0.190 0.169 O
0.535 0.539 0.912 O
0.539 0.535 0.412 O
0.765 0.867 0.357 O
0.867 0.765 0.857 O